DFT (GGA-PBE) results for crystalline ZnGaCu2 at its relaxed geometry.

energy relative to the elements	0.20	eV per atom
DOS(E_F)	6.63	states/eV per cell
total magnetic moment	0.000	μB per formula unit
volume	15.17	Å³ per atom

```
data_ZnGaCu2
_symmetry_space_group_name_H-M 'I -4 2 d'
_symmetry_Int_Tables_number 122
_symmetry_space_group_name_Hall 'I -4 2bw'
_cell_length_a 6.882
_cell_length_b 6.882
_cell_length_c 5.126
_cell_angle_alpha 90.00
_cell_angle_beta 90.00
_cell_angle_gamma 90.00
loop_
_atom_site_label
_atom_site_fract_x
_atom_site_fract_y
_atom_site_fract_z
Zn1 0.000 0.000 0.000
Ga1 0.000 0.000 0.500
Cu1 0.250 0.250 0.375
```